First-principles (GGA-PBE) data for crystalline Cs3Pa2S6 at its relaxed geometry, as listed in Alexandria.

Lattice parameters (Å, degrees): 14.9893 14.9893 14.9893 159.76 159.76 28.77
Closest atoms and distances in Å follow each position.
Positions (direct):
Cs 0.0000 0.0000 0.0000  8 S 3.63
Cs 0.1868 0.1868 0.0000  9 S 3.66-3.94
Cs 0.8132 0.8132 0.0000  9 S 3.66-3.94
Pa 0.3979 0.3979 0.0000  5 S 2.47-2.67
Pa 0.6021 0.6021 0.0000  5 S 2.47-2.67
S 0.0860 0.5860 0.5000  2 Pa 2.67
S 0.3127 0.3127 0.0000  1 Pa 2.47
S 0.4140 0.9140 0.5000  2 Pa 2.67
S 0.5860 0.0860 0.5000  2 Pa 2.67
S 0.6873 0.6873 0.0000  1 Pa 2.47
S 0.9140 0.4140 0.5000  2 Pa 2.67

Values from the calculation:
**Space group**: No. 139
**E_form (uncorrected)**: -1.445 eV per atom